VASP calculation (GGA+U) on a relaxed Sr3SmFe2O8 crystal.

total moment: 9.00 Bohr magnetons per cell
raw total energy: -6.71 eV per atom
density of states at the Fermi level: 0.181 states/eV per atom

Lattice parameters (Å, degrees): 6.8835 6.8835 5.4885 90.00 90.00 133.13
Site moments in Bohr magnetons follow the coordinates.
Element x y z (fractional)
Sr 0.6460 0.3540 0.0000  0.00
Sr 0.3556 0.6444 0.0000  0.00
Sr 0.8547 0.1453 0.5000  0.01
Sm 0.1386 0.8614 0.5000  0.01
Fe 0.5030 0.4970 0.5000  4.09
Fe 0.9985 0.0015 0.0000  4.13
O 0.8422 0.1578 0.0000  0.06
O 0.3193 0.6807 0.5000  0.06
O 0.6644 0.3356 0.5000  0.12
O 0.1607 0.8393 0.0000  0.03
O 0.2521 0.2435 0.2581  0.09
O 0.7565 0.7479 0.7419  0.09
O 0.7565 0.7479 0.2581  0.09
O 0.2521 0.2435 0.7419  0.09